# PrScN

Crystalline PrScN at its relaxed geometry (PBE, Alexandria).

Cell and atoms, written as CIF:
```
data_PrScN
_symmetry_space_group_name_H-M 'P 1'
_symmetry_Int_Tables_number 1
_cell_length_a 6.7252
_cell_length_b 6.7252
_cell_length_c 6.0035
_cell_angle_alpha 90.00
_cell_angle_beta 90.00
_cell_angle_gamma 106.03
loop_
_symmetry_equiv_pos_as_xyz
'x,y,z'
loop_
_atom_site_label
_atom_site_type_symbol
_atom_site_fract_x
_atom_site_fract_y
_atom_site_fract_z
_atom_site_occupancy
Sc1 Sc 0.8319 0.8319 0.0934 1
Sc2 Sc 0.6681 0.6681 0.5934 1
Sc3 Sc 0.1681 0.1681 0.9066 1
Sc4 Sc 0.3319 0.3319 0.4066 1
Pr1 Pr 0.6694 0.3306 0.0000 1
Pr2 Pr 0.3306 0.6694 0.0000 1
Pr3 Pr 0.1694 0.8306 0.5000 1
Pr4 Pr 0.8306 0.1694 0.5000 1
N1 N 0.5745 0.5745 0.2656 1
N2 N 0.0745 0.0745 0.2344 1
N3 N 0.9255 0.9255 0.7656 1
N4 N 0.4255 0.4255 0.7344 1
```

Values from the calculation:
V ... 261.0 Å³/cell
ΔE to the lowest computed polymorph ... 20.8 kJ/mol of atoms
DOS(E_F) ... 7.35 states/eV per cell
Uncorrected formation energy ... -742 meV per atom